Na3VRh3O8 | PBE with a Hubbard U | relaxed

Results
The total energy comes out at -6.147 eV/atom. Its symmetry is C2/m (12).

Geometry as POSCAR:
```
Na3VRh3O8
1.0
-0.918 -6.126 -0.201
5.173 2.432 -2.213
-0.791 -0.092 6.422
V Rh O Na
1 3 8 3
Cartesian
-0.396 -0.046 3.211
2.191 1.170 2.105
1.732 -1.893 2.004
-0.855 -3.109 3.111
2.282 -0.365 0.717
1.534 -0.342 3.427
1.182 -3.420 3.291
-0.812 -4.700 1.750
-0.335 -1.516 1.854
3.799 -2.269 2.154
1.930 -3.443 0.582
4.276 0.914 2.258
0.000 0.000 0.000
2.128 -1.847 -1.207
2.586 1.216 -1.107
```